! As2PbW PBE-GGA optimized geometry; values from VASP
&SYSTEM
  ibrav = 0, nat = 4, ntyp = 3
/
ATOMIC_SPECIES
Pb 207.20 Pb.upf
As 74.92 As.upf
W 183.84 W.upf
CELL_PARAMETERS angstrom
-0.6275 3.2072 0.6160
-1.8610 0.1643 -2.7512
-6.2905 -2.0247 4.1342
ATOMIC_POSITIONS angstrom
Pb -3.4058 -1.0962 2.2383
As -6.0561 -1.9493 3.9801
As -2.3027 1.3451 -0.3720
W -6.4501 0.0102 2.3537
! Raw total energy in eV/f.u.: -24.55
! Density in g cm⁻³: 10.42
! Energy relative to the elements in eV per atom: 0.353
! Space-group type: No. 99